[1]
GdSnOs: relaxed, PBE-GGA.

a b c (Å): 6.6160 6.6160 6.6160
angles (deg): 90.00 90.00 90.00
Positions (direct):
Gd (0.0000, 0.0000, 0.0000)
Gd (0.0000, 0.5000, 0.5000)
Gd (0.5000, 0.0000, 0.5000)
Gd (0.5000, 0.5000, 0.0000)
Sn (0.0000, 0.0000, 0.5000)
Sn (0.0000, 0.5000, 0.0000)
Sn (0.5000, 0.0000, 0.0000)
Sn (0.5000, 0.5000, 0.5000)
Os (0.2500, 0.2500, 0.2500)
Os (0.2500, 0.7500, 0.7500)
Os (0.7500, 0.2500, 0.7500)
Os (0.7500, 0.7500, 0.2500)

Values from the calculation:
magnetization: 0.00 μB per formula unit
crystal system: cubic
raw total energy: -6.74 eV per atom

=====

[2]
NaTbBeSe3: relaxed, PBE-GGA.

a b c (Å): 7.0168 7.0168 10.9185
angles (deg): 90.00 90.00 147.35
Positions (direct):
Na (0.2469, 0.7531, 0.7500)
Na (0.7531, 0.2469, 0.2500)
Tb (0.0000, 0.0000, 0.0000)
Tb (0.0000, 0.0000, 0.5000)
Be (0.4643, 0.5357, 0.2500)
Be (0.5357, 0.4643, 0.7500)
Se (0.0691, 0.9309, 0.2500)
Se (0.3657, 0.6343, 0.0855)
Se (0.3657, 0.6343, 0.4145)
Se (0.6343, 0.3657, 0.5855)
Se (0.6343, 0.3657, 0.9145)
Se (0.9309, 0.0691, 0.7500)

Values from the calculation:
magnetization: 0.01 μB per formula unit
crystal system: orthorhombic
raw total energy: -4.69 eV per atom

=====

[3]
SrCd2Cu: relaxed, PBE-GGA.

a b c (Å): 7.1819 7.1819 7.1819
angles (deg): 90.00 90.00 90.00
Positions (direct):
Sr (0.0000, 0.0000, 0.0000)
Sr (0.0000, 0.5000, 0.5000)
Sr (0.5000, 0.0000, 0.5000)
Sr (0.5000, 0.5000, 0.0000)
Cd (0.0000, 0.0000, 0.5000)
Cd (0.0000, 0.5000, 0.0000)
Cd (0.2500, 0.2500, 0.7500)
Cd (0.2500, 0.7500, 0.2500)
Cd (0.5000, 0.0000, 0.0000)
Cd (0.5000, 0.5000, 0.5000)
Cd (0.7500, 0.2500, 0.2500)
Cd (0.7500, 0.7500, 0.7500)
Cu (0.2500, 0.2500, 0.2500)
Cu (0.2500, 0.7500, 0.7500)
Cu (0.7500, 0.2500, 0.7500)
Cu (0.7500, 0.7500, 0.2500)

Values from the calculation:
crystal system: cubic
raw total energy: -1.86 eV per atom

=====

[4]
SrCu2GeS4: relaxed, PBE-GGA.

a b c (Å): 6.1688 6.1688 15.2931
angles (deg): 90.00 90.00 120.00
Positions (direct):
Sr (0.1143, 0.7804, 0.0000)
Sr (0.2196, 0.3339, 0.6667)
Sr (0.6661, 0.8857, 0.3333)
Cu (0.0127, 0.7561, 0.7556)
Cu (0.0885, 0.6780, 0.2444)
Cu (0.2439, 0.2566, 0.4223)
Cu (0.3220, 0.4105, 0.9110)
Cu (0.5895, 0.9115, 0.5777)
Cu (0.7434, 0.9873, 0.0890)
Ge (0.3804, 0.3328, 0.1667)
Ge (0.6672, 0.0476, 0.8333)
Ge (0.9524, 0.6196, 0.5000)
S (0.0039, 0.4370, 0.8354)
S (0.1390, 0.2970, 0.0512)
S (0.1580, 0.8610, 0.3845)
S (0.1743, 0.3686, 0.2820)
S (0.1943, 0.8257, 0.6154)
S (0.3304, 0.0999, 0.8312)
S (0.4330, 0.9961, 0.1688)
S (0.5630, 0.5670, 0.5021)
S (0.6314, 0.8057, 0.9487)
S (0.7030, 0.8420, 0.7178)
S (0.7695, 0.6696, 0.1645)
S (0.9001, 0.2305, 0.4979)

Values from the calculation:
crystal system: trigonal
raw total energy: -4.58 eV per atom

=====

[5]
Gd4Zr: relaxed, PBE-GGA.

a b c (Å): 6.3387 9.0384 5.8128
angles (deg): 90.00 112.23 90.00
Positions (direct):
Gd (0.1921, 0.1754, 0.0663)
Gd (0.1921, 0.8246, 0.5663)
Gd (0.2426, 0.4157, 0.5291)
Gd (0.2426, 0.5843, 0.0291)
Gd (0.7574, 0.4157, 0.9709)
Gd (0.7574, 0.5843, 0.4709)
Gd (0.8079, 0.1754, 0.4337)
Gd (0.8079, 0.8246, 0.9337)
Zr (0.5000, 0.0965, 0.7500)
Zr (0.5000, 0.9035, 0.2500)

Values from the calculation:
magnetization: 0.02 μB per formula unit
crystal system: monoclinic
raw total energy: -5.22 eV per atom

=====

[6]
LiSiBPt: relaxed, PBE-GGA.

a b c (Å): 5.6956 5.6956 5.6956
angles (deg): 90.00 90.00 90.00
Positions (direct):
Li (0.0000, 0.0000, 0.0000)
Li (0.0000, 0.5000, 0.5000)
Li (0.5000, 0.0000, 0.5000)
Li (0.5000, 0.5000, 0.0000)
Si (0.2500, 0.2500, 0.7500)
Si (0.2500, 0.7500, 0.2500)
Si (0.7500, 0.2500, 0.2500)
Si (0.7500, 0.7500, 0.7500)
B (0.2500, 0.2500, 0.2500)
B (0.2500, 0.7500, 0.7500)
B (0.7500, 0.2500, 0.7500)
B (0.7500, 0.7500, 0.2500)
Pt (0.0000, 0.0000, 0.5000)
Pt (0.0000, 0.5000, 0.0000)
Pt (0.5000, 0.0000, 0.0000)
Pt (0.5000, 0.5000, 0.5000)

Values from the calculation:
ΔE to the lowest computed polymorph: 0.0 kJ/mol of formula units
magnetization: 0.00 μB per formula unit
crystal system: cubic